A geometry-optimized AcNi2H8Pd structure. Source: Alexandria via LeMat-Bulk, functional PBE.

Cell lengths 6.2828, 6.2828, 6.2828 Å; angles 43.61, 43.61, 43.61 degrees
Positions (direct):
Ac 0.0000 0.0000 0.0000
Ni 0.2056 0.2056 0.2056
Ni 0.7944 0.7944 0.7944
H 0.1260 0.8117 0.4275
H 0.1883 0.5725 0.8740
H 0.3001 0.3001 0.3001
H 0.4275 0.1260 0.8117
H 0.5725 0.8740 0.1883
H 0.6999 0.6999 0.6999
H 0.8117 0.4275 0.1260
H 0.8740 0.1883 0.5725
Pd 0.5000 0.5000 0.5000

Properties
Raw total energy: -4.19 eV per atom
Crystal system: trigonal
Space-group type: R-3 (148)